This record from Alexandria describes a relaxed structure of Zn2RhSe. The functional is GGA-PBE.

The structure in CIF format:
```
data_Zn2RhSe
_chemical_formula_sum 'Zn2 Rh1 Se1'
_symmetry_space_group_name_H-M 'P 4/m m m'
_symmetry_Int_Tables_number 123
_symmetry_space_group_name_Hall '-P 4 2'
_cell_length_a 2.932
_cell_length_b 2.932
_cell_length_c 7.978
_cell_angle_alpha 90.00
_cell_angle_beta 90.00
_cell_angle_gamma 90.00
loop_
_atom_site_label
_atom_site_type_symbol
_atom_site_fract_x
_atom_site_fract_y
_atom_site_fract_z
Zn1 Zn 0.000 0.000 0.196
Rh1 Rh 0.500 0.500 0.000
Se1 Se 0.500 0.500 0.500
```

## Properties
DOS(E_F) (states/eV/f.u.): 1.5
E (eV for the cell shown): -13.80